A geometry-optimized CaNi2As structure, computed with GGA-PBE.

a b c (Å): 3.8202 4.2277 4.8718
angles (deg): 90.00 90.00 90.00
With the nearest neighbours (Å) after each atom.
Space group Pmmm (No. 47)
One atom of each set of equivalent atoms:
Ca  0.0000  0.0000  0.0000 [1 per cell]  8 Ni 3.08, 4 As 3.23
Ni  0.5000  0.5000  0.2421 [2 per cell]  2 As 2.29, 2 Ni 2.36-2.51
As  0.0000  0.5000  0.5000 [1 per cell]  4 Ni 2.29

Computed properties:
Fermi-level density of states: 3.071 states/eV per cell
Total energy: -19.43 eV per cell
Magnetic moment: 0.000 Bohr magnetons per cell